No. 1
First-principles (PBE) data for a relaxed structure of Pu2USb, as listed in Alexandria via LeMat-Bulk.

Unit cell a=3.921 b=3.921 c=6.405 alpha=90.00 beta=90.00 gamma=90.00
Atoms (fractional coordinates):
U 0.500 0.500 0.500
Pu 0.000 0.000 0.248
Pu 0.000 0.000 0.752
Sb 0.500 0.500 0.000

Properties
Energy relative to the elements, uncorrected   -0.12 eV/atom
Polymorph energy (0 for the lowest one)   35 meV/atom
Space-group type   P4/mmm
VASP energy   -11.143 eV/atom
Magnetization   13.4 μB per formula unit
Theoretical density   14.3 g/cm3

No. 2
First-principles (PBE) data for a relaxed structure of TbDySe2, as listed in Alexandria via LeMat-Bulk.

Unit cell a=4.096 b=4.096 c=7.042 alpha=73.09 beta=73.09 gamma=60.00
Atoms (fractional coordinates):
Se 0.751 0.751 0.748
Se 0.249 0.249 0.252
Dy 0.500 0.500 0.500
Tb 0.000 0.000 0.000

Properties
Energy relative to the elements, uncorrected   -1.76 eV/atom
Polymorph energy (0 for the lowest one)   0 meV/atom
Space-group type   R-3m
VASP energy   -5.811 eV/atom
Magnetization   0.0 μB per formula unit
Theoretical density   8.3 g/cm3

No. 3
First-principles (PBE) data for a relaxed structure of LiLuTiGa, as listed in Alexandria via LeMat-Bulk.

Unit cell a=4.729 b=4.729 c=4.729 alpha=60.00 beta=60.00 gamma=60.00
Atoms (fractional coordinates):
Ti 0.250 0.250 0.250
Li 0.000 0.000 0.000
Lu 0.750 0.750 0.750
Ga 0.500 0.500 0.500

Properties
Formation enthalpy at 0 K   -0.15 eV per atom
Space-group type   F-43m
VASP energy   -4.487 eV/atom
Magnetization   1.0 μB per formula unit
Theoretical density   6.7 g/cm3

No. 4
First-principles (PBE) data for a relaxed structure of Na2Ac2Pb, as listed in Alexandria via LeMat-Bulk.

Unit cell a=4.386 b=4.386 c=10.767 alpha=101.75 beta=101.75 gamma=90.00
Atoms (fractional coordinates):
Ac 0.416 0.416 0.832
Ac 0.584 0.584 0.168
Na 0.250 0.750 0.500
Na 0.750 0.250 0.500
Pb 0.000 0.000 0.000

Properties
Formation enthalpy at 0 K   0.00 eV per atom
Space-group type   I4/mmm
VASP energy   -2.914 eV/atom
Magnetization   0.0 μB per formula unit
Theoretical density   5.9 g/cm3

No. 5
First-principles (PBE) data for a relaxed structure of K5Si3, as listed in Alexandria via LeMat-Bulk.

Unit cell a=9.604 b=9.604 c=4.327 alpha=90.00 beta=90.00 gamma=93.72
Atoms (fractional coordinates):
K 0.000 0.000 0.000
K 0.271 0.271 0.500
K 0.000 0.500 0.000
K 0.500 0.000 0.000
K 0.729 0.729 0.500
Si 0.588 0.412 0.500
Si 0.412 0.588 0.500
Si 0.500 0.500 0.000

Properties
Energy relative to the elements, uncorrected   0.33 eV/atom
Polymorph energy (0 for the lowest one)   0 meV/atom
Space-group type   Cmmm
VASP energy   -2.392 eV/atom
Magnetization   0.0 μB per formula unit
Theoretical density   1.2 g/cm3

No. 6
First-principles (PBE) data for a relaxed structure of Dy2AlZn12Cu3, as listed in Alexandria via LeMat-Bulk.

Unit cell a=6.749 b=6.749 c=6.749 alpha=85.99 beta=85.99 gamma=85.99
Atoms (fractional coordinates):
Zn 0.571 0.154 0.571
Zn 0.429 0.429 0.846
Zn 0.801 0.801 0.285
Zn 0.154 0.571 0.571
Zn 0.199 0.199 0.715
Zn 0.571 0.571 0.154
Zn 0.715 0.199 0.199
Zn 0.801 0.285 0.801
Zn 0.285 0.801 0.801
Zn 0.429 0.846 0.429
Zn 0.199 0.715 0.199
Zn 0.846 0.429 0.429
Cu 0.000 0.000 0.500
Cu 0.500 0.000 0.000
Cu 0.000 0.500 0.000
Al 0.000 0.000 0.000
Dy 0.747 0.747 0.747
Dy 0.253 0.253 0.253

Properties
Formation enthalpy at 0 K   0.00 eV per atom
Space-group type   R-3m
VASP energy   -2.248 eV/atom
Magnetization   0.0 μB per formula unit
Theoretical density   7.2 g/cm3

No. 7
First-principles (PBE) data for a relaxed structure of SmYGa, as listed in Alexandria via LeMat-Bulk.

Unit cell a=5.018 b=5.018 c=5.018 alpha=60.00 beta=60.00 gamma=60.00
Atoms (fractional coordinates):
Sm 0.000 0.000 0.000
Y 0.500 0.500 0.500
Ga 0.250 0.250 0.250

Properties
Formation enthalpy at 0 K   -0.26 eV per atom
Polymorph energy (0 for the lowest one)   129 meV/atom
Space-group type   F-43m
VASP energy   -4.993 eV/atom
Magnetization   0.0 μB per formula unit
Theoretical density   5.7 g/cm3

No. 8
First-principles (PBE) data for a relaxed structure of TbH2I, as listed in Alexandria via LeMat-Bulk.

Unit cell a=3.820 b=3.820 c=5.646 alpha=70.23 beta=70.23 gamma=60.00
Atoms (fractional coordinates):
H 0.308 0.308 0.075
H 0.692 0.692 0.925
I 0.500 0.500 0.500
Tb 0.000 0.000 0.000

Properties
Space-group type   R-3m
VASP energy   -3.993 eV/atom
Magnetization   0.0 μB per formula unit
Theoretical density   7.3 g/cm3

No. 9
First-principles (PBE) data for a relaxed structure of PmSm3Hg6, as listed in Alexandria via LeMat-Bulk.

Unit cell a=5.224 b=9.395 c=11.313 alpha=106.67 beta=90.00 gamma=90.00
Atoms (fractional coordinates):
Pm 0.750 0.064 0.387
Pm 0.250 0.936 0.613
Sm 0.750 0.491 0.614
Sm 0.750 0.647 0.202
Sm 0.750 0.226 0.007
Sm 0.250 0.353 0.798
Sm 0.250 0.509 0.386
Sm 0.250 0.774 0.993
Hg 0.750 0.861 0.800
Hg 0.250 0.653 0.705
Hg 0.250 0.243 0.511
Hg 0.250 0.139 0.200
Hg 0.750 0.164 0.688
Hg 0.250 0.063 0.899
Hg 0.750 0.347 0.295
Hg 0.250 0.463 0.090
Hg 0.250 0.836 0.312
Hg 0.750 0.757 0.489
Hg 0.750 0.937 0.101
Hg 0.750 0.537 0.910

Properties
Formation enthalpy at 0 K   -0.44 eV per atom
Space-group type   P2_1/m
VASP energy   -2.510 eV/atom
Magnetization   0.0 μB per formula unit
Theoretical density   11.2 g/cm3

No. 10
First-principles (PBE) data for a relaxed structure of MgSc2Cu, as listed in Alexandria via LeMat-Bulk.

Unit cell a=5.872 b=5.872 c=4.919 alpha=65.26 beta=65.26 gamma=32.29
Atoms (fractional coordinates):
Sc 0.003 0.003 0.997
Sc 0.210 0.210 0.290
Cu 0.497 0.497 0.502
Mg 0.789 0.789 0.711

Properties
Formation enthalpy at 0 K   -0.07 eV per atom
Space-group type   Cm
VASP energy   -4.657 eV/atom
Magnetization   0.0 μB per formula unit
Theoretical density   3.6 g/cm3

No. 11
First-principles (PBE) data for a relaxed structure of Hg2AsW, as listed in Alexandria via LeMat-Bulk.

Unit cell a=4.749 b=2.912 c=5.850 alpha=75.76 beta=90.00 gamma=90.00
Atoms (fractional coordinates):
Hg 0.500 0.303 0.266
Hg 0.000 0.942 0.994
W 0.000 0.677 0.519
As 0.500 0.579 0.721

Properties
Formation enthalpy at 0 K   0.62 eV per atom
Space-group type   Pm
VASP energy   -3.931 eV/atom
Magnetization   0.0 μB per formula unit
Theoretical density   14.0 g/cm3

No. 12
First-principles (PBE) data for a relaxed structure of SrLiPb2, as listed in Alexandria via LeMat-Bulk.

Unit cell a=5.214 b=6.683 c=7.679 alpha=117.25 beta=90.00 gamma=90.00
Atoms (fractional coordinates):
Li 0.750 0.742 0.389
Li 0.250 0.258 0.611
Pb 0.250 0.843 0.222
Pb 0.750 0.234 0.388
Pb 0.750 0.157 0.778
Pb 0.250 0.766 0.612
Sr 0.250 0.293 0.112
Sr 0.750 0.707 0.888

Properties
Formation enthalpy at 0 K   -0.38 eV per atom
Space-group type   P2_1/m
VASP energy   -3.134 eV/atom
Magnetization   0.0 μB per formula unit
Theoretical density   7.1 g/cm3